Compound: Y2CuPt
Source: the Alexandria database
Functional: PBEsol
Structure: optimized geometry

Output
Total energy   -26.88 eV per cell

```
data_Y2CuPt
_chemical_formula_sum 'Y2 Cu1 Pt1'
_symmetry_space_group_name_H-M 'P 1'
_symmetry_Int_Tables_number 1
_cell_length_a 4.079
_cell_length_b 4.079
_cell_length_c 5.587
_cell_angle_alpha 111.41
_cell_angle_beta 111.41
_cell_angle_gamma 90.00
loop_
_symmetry_equiv_pos_as_xyz
'x,y,z'
loop_
_atom_site_label
_atom_site_type_symbol
_atom_site_fract_x
_atom_site_fract_y
_atom_site_fract_z
_atom_site_occupancy
Pt1 Pt 0.250 0.750 0.500 1
Cu1 Cu 0.500 0.500 0.000 1
Y1 Y 0.000 0.000 0.000 1
Y2 Y 0.750 0.250 0.500 1
```